Entry 1:
Density functional theory data (PBE) for an optimized crystal structure of Pm2Br2O.

The space group is C2/m (No. 12) and the conventional cell measures 21.587, 4.014 and 7.056 Å, with angles of 90.00, 95.74 and 90.00 degrees. The inequivalent atoms are Pm at (0.180, 0.000, 0.381), Pm at (0.183, 0.500, 0.910), Br at (0.088, 0.500, 0.200), Br at (0.096, 0.000, 0.692) and O at (0.209, 0.000, 0.073).

The uncorrected formation energy comes out at -2.1787 eV per atom. The crystal system is monoclinic.

---

Entry 2:
Density functional theory data (PBE) for an optimized crystal structure of Ba2LaPd.

The space group is Fm-3m (No. 225) and the conventional cell measures 8.177, 8.177 and 8.177 Å, with angles of 90.00, 90.00 and 90.00 degrees. The inequivalent atoms are Ba at (0.250, 0.250, 0.250), La at (0.000, 0.000, 0.000) and Pd at (0.000, 0.000, 0.500).

The crystal system is cubic.

---

Entry 3:
Density functional theory data (PBE) for an optimized crystal structure of BaU2Cu2Te6.

The space group is P-1 (No. 2) and the conventional cell measures 7.961, 8.060 and 8.244 Å, with angles of 62.22, 62.45 and 60.54 degrees. The inequivalent atoms are Ba at (0.000, 0.000, 0.000), U at (0.333, 0.338, 0.993), Cu at (0.452, 0.652, 0.564), Te at (0.078, 0.708, 0.745), Te at (0.287, 0.549, 0.253) and Te at (0.460, 0.075, 0.750).

The uncorrected formation energy comes out at -0.6085 eV per atom. The crystal system is triclinic.

---

Entry 4:
Density functional theory data (PBE) for an optimized crystal structure of KNiI.

The space group is P-1 (No. 2) and the conventional cell measures 5.124, 5.221 and 7.948 Å, with angles of 108.63, 90.26 and 90.00 degrees. The inequivalent atoms are K at (0.248, 0.389, 0.270), Ni at (0.000, 0.000, 0.500), Ni at (0.500, 0.000, 0.500) and I at (0.252, 0.132, 0.775).

The uncorrected formation energy comes out at -0.3199 eV per atom. The crystal system is triclinic.

---

DFT total energy? In order: -114.80 -52.54 -58.23 -18.78 eV for the cell shown.
Density? In order: 5.09 6.32 6.44 3.70 g/cm3.